1.
K2MnNi | meta-GGA SCAN | PBEsol geometry

a b c (Å): 4.170 4.185 5.348
angles (deg): 90.00 90.00 90.00
Space group Pmmm (No. 47)
Symmetry-distinct sites (fractional):
K 0.000 0.000 0.000
K 0.500 0.500 0.000
Mn 0.000 0.500 0.500
Ni 0.500 0.000 0.500

energy relative to the lowest polymorph listed for this composition	0.5106	eV per atom
formation enthalpy at 0 K	0.907	eV per atom
total DFT energy (no corrections)	-0.87202	Ry per atom
density of states at the Fermi level	1.32	states/eV/f.u.

---

2.
K2MnNi | meta-GGA SCAN | PBEsol geometry

a b c (Å): 3.578 5.014 5.648
angles (deg): 90.00 90.00 90.00
Space group Pmmm (No. 47)
Symmetry-distinct sites (fractional):
K 0.000 0.000 0.242
Mn 0.500 0.500 0.500
Ni 0.500 0.500 0.000

energy relative to the lowest polymorph listed for this composition	0.5296	eV per atom
formation enthalpy at 0 K	0.926	eV per atom
total DFT energy (no corrections)	-0.87063	Ry per atom
density of states at the Fermi level	2.59	states/eV/f.u.

---

3.
KMnO2 | meta-GGA SCAN | PBEsol geometry

a b c (Å): 6.213 2.879 6.417
angles (deg): 90.00 113.56 90.00
Space group C2/m (No. 12)
Symmetry-distinct sites (fractional):
K 0.000 0.000 0.000
Mn 0.000 0.500 0.500
O 0.181 0.000 0.684

total DFT energy (no corrections)	-0.86597	Ry per atom
density of states at the Fermi level	0.00	states/eV/f.u.

---

4.
K3MnO | meta-GGA SCAN | PBEsol geometry

a b c (Å): 5.991 5.991 5.991
angles (deg): 90.00 90.00 90.00
Space group Pm-3m (No. 221)
Symmetry-distinct sites (fractional):
K 0.000 0.000 0.500
Mn 0.000 0.000 0.000
O 0.500 0.500 0.500

total DFT energy (no corrections)	-0.66708	Ry per atom
density of states at the Fermi level	8.20	states/eV/f.u.

---

5.
K11Mn4O16 | meta-GGA SCAN | PBEsol geometry

a b c (Å): 7.675 7.675 18.077
angles (deg): 90.00 90.00 90.00
Space group I-42m (No. 121)
Symmetry-distinct sites (fractional):
K 0.000 0.000 0.000
K 0.000 0.000 0.210
K 0.000 0.500 0.000
K 0.000 0.500 0.250
K 0.165 0.165 0.395
Mn 0.238 0.238 0.117
O 0.022 0.278 0.120
O 0.163 0.163 0.689
O 0.183 0.183 0.538

total DFT energy (no corrections)	-0.76865	Ry per atom
density of states at the Fermi level	17.04	states/eV/f.u.

---

6.
K2MnO4 | meta-GGA SCAN | PBEsol geometry

a b c (Å): 5.853 7.594 11.642
angles (deg): 90.00 118.22 90.00
Space group P2_1/c (No. 14)
Symmetry-distinct sites (fractional):
K 0.036 0.009 0.303
K 0.321 0.164 0.081
Mn 0.333 0.728 0.080
O 0.173 0.684 0.650
O 0.208 0.694 0.430
O 0.306 0.514 0.078
O 0.360 0.213 0.840

total DFT energy (no corrections)	-0.76554	Ry per atom
density of states at the Fermi level	3.30	states/eV/f.u.

---

7.
K2MnO4 | meta-GGA SCAN | PBEsol geometry

a b c (Å): 7.605 5.804 10.271
angles (deg): 90.00 90.00 90.00
Space group Pnma (No. 62)
Symmetry-distinct sites (fractional):
K 0.012 0.250 0.196
K 0.163 0.750 0.416
Mn 0.229 0.750 0.079
O 0.014 0.750 0.081
O 0.194 0.019 0.653
O 0.197 0.250 0.428

total DFT energy (no corrections)	-0.76560	Ry per atom
density of states at the Fermi level	3.06	states/eV/f.u.

---

8.
KMnO2 | meta-GGA SCAN | PBEsol geometry

a b c (Å): 5.816 5.816 7.153
angles (deg): 90.00 90.00 90.00
Space group I-42d (No. 122)
Symmetry-distinct sites (fractional):
K 0.000 0.000 0.000
Mn 0.000 0.000 0.500
O 0.131 0.750 0.625

total DFT energy (no corrections)	-0.85907	Ry per atom
density of states at the Fermi level	1.29	states/eV/f.u.

---

9.
KMnO2 | meta-GGA SCAN | PBEsol geometry

a b c (Å): 12.440 3.198 7.230
angles (deg): 90.00 120.33 90.00
Space group C2/m (No. 12)
Symmetry-distinct sites (fractional):
K 0.197 0.000 0.230
Mn 0.051 0.000 0.710
O 0.095 0.500 0.868
O 0.114 0.000 0.520

total DFT energy (no corrections)	-0.84950	Ry per atom
density of states at the Fermi level	1.56	states/eV/f.u.

---

10.
KMnO2 | meta-GGA SCAN | PBEsol geometry

a b c (Å): 6.388 6.490 2.841
angles (deg): 90.00 90.00 90.00
Space group Pnnm (No. 58)
Symmetry-distinct sites (fractional):
K 0.000 0.000 0.000
Mn 0.000 0.500 0.500
O 0.159 0.387 0.000

total DFT energy (no corrections)	-0.86062	Ry per atom
density of states at the Fermi level	0.00	states/eV/f.u.

---

11.
KMnO2 | meta-GGA SCAN | PBEsol geometry

a b c (Å): 5.708 2.889 6.841
angles (deg): 90.00 96.80 90.00
Space group P2_1/m (No. 11)
Symmetry-distinct sites (fractional):
K 0.225 0.250 0.355
Mn 0.308 0.250 0.868
O 0.268 0.750 0.684
O 0.309 0.750 0.055

total DFT energy (no corrections)	-0.86706	Ry per atom
density of states at the Fermi level	0.00	states/eV/f.u.

---

Spin magnetization values, unit μB per formula unit, following the record order: 4.7; 4.9; 4.0; 5.1; 7.0; 1.0; 1.0; 4.0; 4.0; 4.0; 4.0.